This record from Alexandria describes crystalline TaBe2W at its relaxed geometry. The functional is PBE.

Structure (CIF):
```
data_TaBe2W
_chemical_formula_sum 'Ta1 Be2 W1'
_cell_length_a 2.706
_cell_length_b 2.706
_cell_length_c 7.037
_cell_angle_alpha 90.00
_cell_angle_beta 90.00
_cell_angle_gamma 90.00
_space_group_name_H-M_alt 'P 1'
_space_group_IT_number 1
_space_group_name_Hall 'P 1'
loop_
_atom_site_label
_atom_site_type_symbol
_atom_site_fract_x
_atom_site_fract_y
_atom_site_fract_z
_atom_site_occupancy
Be1 Be 0.000 0.000 0.046 1
Be2 Be 0.500 0.500 0.200 1
W1 W 0.500 0.500 0.798 1
Ta1 Ta 0.000 0.000 0.456 1
```

Output
**Calculated total energy**: -7.9826 eV/atom
**Energy of formation from the pure elements**: 0.082 eV per atom
**D(E_F)**: 0.498 states/eV/atom
**Space-group type**: P4mm, No. 99
**Offset from the most stable computed form**: 29.56 kJ/mol of atoms

This record from Alexandria describes crystalline AcInRh2 at its relaxed geometry. The functional is PBE.

Structure (CIF):
```
data_AcInRh2
_chemical_formula_sum 'Ac4 In4 Rh8'
_cell_length_a 7.757
_cell_length_b 6.624
_cell_length_c 8.313
_cell_angle_alpha 90.00
_cell_angle_beta 90.00
_cell_angle_gamma 90.00
_space_group_name_H-M_alt 'P 1'
_space_group_IT_number 1
_space_group_name_Hall 'P 1'
loop_
_atom_site_label
_atom_site_type_symbol
_atom_site_fract_x
_atom_site_fract_y
_atom_site_fract_z
_atom_site_occupancy
Ac1 Ac 0.000 0.250 0.706 1
Ac2 Ac 0.000 0.750 0.294 1
Ac3 Ac 0.500 0.750 0.216 1
Ac4 Ac 0.500 0.250 0.784 1
Rh1 Rh 0.269 0.750 0.973 1
Rh2 Rh 0.731 0.750 0.973 1
Rh3 Rh 0.269 0.250 0.027 1
Rh4 Rh 0.500 0.000 0.500 1
Rh5 Rh 0.500 0.500 0.500 1
Rh6 Rh 0.000 0.000 0.000 1
Rh7 Rh 0.000 0.500 0.000 1
Rh8 Rh 0.731 0.250 0.027 1
In1 In 0.500 0.750 0.741 1
In2 In 0.000 0.250 0.265 1
In3 In 0.500 0.250 0.259 1
In4 In 0.000 0.750 0.735 1
```

Output
**Calculated total energy**: -5.4260 eV/atom
**Energy of formation from the pure elements**: -0.039 eV per atom
**D(E_F)**: 0.814 states/eV/atom
**Space-group type**: Pmma, No. 51

This record from Alexandria describes crystalline K2HfPt3O12 at its relaxed geometry. The functional is PBE.

Structure (CIF):
```
data_K2HfPt3O12
_chemical_formula_sum 'K2 Hf1 Pt3 O12'
_cell_length_a 7.457
_cell_length_b 7.457
_cell_length_c 7.457
_cell_angle_alpha 58.21
_cell_angle_beta 58.21
_cell_angle_gamma 58.21
_space_group_name_H-M_alt 'P 1'
_space_group_IT_number 1
_space_group_name_Hall 'P 1'
loop_
_atom_site_label
_atom_site_type_symbol
_atom_site_fract_x
_atom_site_fract_y
_atom_site_fract_z
_atom_site_occupancy
O1 O 0.326 0.326 0.911 1
O2 O 0.674 0.089 0.674 1
O3 O 0.669 0.068 0.068 1
O4 O 0.068 0.669 0.068 1
O5 O 0.331 0.932 0.932 1
O6 O 0.932 0.932 0.331 1
O7 O 0.932 0.331 0.932 1
O8 O 0.911 0.326 0.326 1
O9 O 0.674 0.674 0.089 1
O10 O 0.089 0.674 0.674 1
O11 O 0.326 0.911 0.326 1
O12 O 0.068 0.068 0.669 1
Pt1 Pt 0.000 0.000 0.500 1
Pt2 Pt 0.000 0.500 0.000 1
Pt3 Pt 0.500 0.000 0.000 1
K1 K 0.610 0.610 0.610 1
K2 K 0.390 0.390 0.390 1
Hf1 Hf 0.000 0.000 0.000 1
```

Output
**Calculated total energy**: -5.9866 eV/atom
**D(E_F)**: 0.717 states/eV/atom
**Formation energy without anion corrections**: -999 meV/atom
**Space-group type**: R-3m, No. 166

This record from Alexandria describes crystalline La5Nd12Sm at its relaxed geometry. The functional is PBE.

Structure (CIF):
```
data_La5Nd12Sm
_chemical_formula_sum 'La5 Nd12 Sm1'
_cell_length_a 15.673
_cell_length_b 11.079
_cell_length_c 5.238
_cell_angle_alpha 90.00
_cell_angle_beta 90.00
_cell_angle_gamma 44.98
_space_group_name_H-M_alt 'P 1'
_space_group_IT_number 1
_space_group_name_Hall 'P 1'
loop_
_atom_site_label
_atom_site_type_symbol
_atom_site_fract_x
_atom_site_fract_y
_atom_site_fract_z
_atom_site_occupancy
Nd1 Nd 0.332 0.000 0.000 1
Nd2 Nd 0.668 0.000 0.000 1
Nd3 Nd 0.333 0.668 0.000 1
Nd4 Nd 0.833 0.000 0.500 1
Nd5 Nd 0.165 0.334 0.500 1
Nd6 Nd 0.001 0.332 0.000 1
Nd7 Nd 0.501 0.334 0.500 1
Nd8 Nd 0.999 0.668 0.000 1
Nd9 Nd 0.667 0.332 0.000 1
Nd10 Nd 0.835 0.666 0.500 1
Nd11 Nd 0.499 0.666 0.500 1
Nd12 Nd 0.167 0.000 0.500 1
La1 La 0.667 0.667 0.000 1
La2 La 0.834 0.332 0.500 1
La3 La 0.500 0.000 0.500 1
La4 La 0.166 0.668 0.500 1
La5 La 0.333 0.333 0.000 1
Sm1 Sm 0.000 0.000 0.000 1
```

Output
**Calculated total energy**: -4.7949 eV/atom
**Energy of formation from the pure elements**: 0.015 eV per atom
**D(E_F)**: 1.751 states/eV/atom
**Space-group type**: Cmmm, No. 65

This record from Alexandria describes crystalline Tl2TcBr at its relaxed geometry. The functional is PBE.

Structure (CIF):
```
data_Tl2TcBr
_chemical_formula_sum 'Tl2 Tc1 Br1'
_cell_length_a 10.360
_cell_length_b 10.360
_cell_length_c 10.360
_cell_angle_alpha 18.99
_cell_angle_beta 18.99
_cell_angle_gamma 18.99
_space_group_name_H-M_alt 'P 1'
_space_group_IT_number 1
_space_group_name_Hall 'P 1'
loop_
_atom_site_label
_atom_site_type_symbol
_atom_site_fract_x
_atom_site_fract_y
_atom_site_fract_z
_atom_site_occupancy
Tc1 Tc 0.755 0.755 0.755 1
Tl1 Tl 0.015 0.015 0.015 1
Tl2 Tl 0.258 0.258 0.258 1
Br1 Br 0.471 0.471 0.471 1
```

Output
**Calculated total energy**: -3.8516 eV/atom
**D(E_F)**: 0.428 states/eV/atom
**Formation energy without anion corrections**: 341 meV/atom
**Space-group type**: R3m, No. 160
**Offset from the most stable computed form**: 0.00 kJ/mol of atoms

This record from Alexandria describes crystalline Lu2MnIn at its relaxed geometry. The functional is PBE.

Structure (CIF):
```
data_Lu2MnIn
_chemical_formula_sum 'Lu2 Mn1 In1'
_cell_length_a 5.089
_cell_length_b 5.089
_cell_length_c 5.089
_cell_angle_alpha 60.00
_cell_angle_beta 60.00
_cell_angle_gamma 60.00
_space_group_name_H-M_alt 'P 1'
_space_group_IT_number 1
_space_group_name_Hall 'P 1'
loop_
_atom_site_label
_atom_site_type_symbol
_atom_site_fract_x
_atom_site_fract_y
_atom_site_fract_z
_atom_site_occupancy
Lu1 Lu 0.250 0.250 0.250 1
Lu2 Lu 0.750 0.750 0.750 1
Mn1 Mn 0.500 0.500 0.500 1
In1 In 0.000 0.000 0.000 1
```

Output
**Calculated total energy**: -5.3294 eV/atom
**Energy of formation from the pure elements**: -0.092 eV per atom
**D(E_F)**: 1.205 states/eV/atom
**Space-group type**: Fm-3m, No. 225
**Offset from the most stable computed form**: 7.89 kJ/mol of atoms

This record from Alexandria describes crystalline LaSmAl6 at its relaxed geometry. The functional is PBE.

Structure (CIF):
```
data_LaSmAl6
_chemical_formula_sum 'La1 Sm1 Al6'
_cell_length_a 4.652
_cell_length_b 6.529
_cell_length_c 6.529
_cell_angle_alpha 120.00
_cell_angle_beta 90.00
_cell_angle_gamma 90.00
_space_group_name_H-M_alt 'P 1'
_space_group_IT_number 1
_space_group_name_Hall 'P 1'
loop_
_atom_site_label
_atom_site_type_symbol
_atom_site_fract_x
_atom_site_fract_y
_atom_site_fract_z
_atom_site_occupancy
Al1 Al 0.500 0.892 0.533 1
Al2 Al 0.000 0.610 0.390 1
Al3 Al 0.500 0.467 0.108 1
Al4 Al 0.500 0.891 0.109 1
Al5 Al 0.000 0.610 0.971 1
Al6 Al 0.000 0.029 0.390 1
La1 La 0.500 0.417 0.583 1
Sm1 Sm 0.000 0.083 0.917 1
```

Output
**Calculated total energy**: -4.4556 eV/atom
**Energy of formation from the pure elements**: -0.443 eV per atom
**D(E_F)**: 0.364 states/eV/atom
**Space-group type**: P-6m2, No. 187

This record from Alexandria describes crystalline Mg2ScMn at its relaxed geometry. The functional is PBE.

Structure (CIF):
```
data_Mg2ScMn
_chemical_formula_sum 'Mg2 Sc1 Mn1'
_cell_length_a 5.320
_cell_length_b 5.320
_cell_length_c 5.320
_cell_angle_alpha 132.83
_cell_angle_beta 132.83
_cell_angle_gamma 68.92
_space_group_name_H-M_alt 'P 1'
_space_group_IT_number 1
_space_group_name_Hall 'P 1'
loop_
_atom_site_label
_atom_site_type_symbol
_atom_site_fract_x
_atom_site_fract_y
_atom_site_fract_z
_atom_site_occupancy
Mg1 Mg 0.500 0.500 0.000 1
Mg2 Mg 0.000 0.000 0.000 1
Sc1 Sc 0.750 0.250 0.500 1
Mn1 Mn 0.250 0.750 0.500 1
```

Output
**Calculated total energy**: -4.5303 eV/atom
**Energy of formation from the pure elements**: 0.142 eV per atom
**D(E_F)**: 0.934 states/eV/atom
**Space-group type**: I4/mmm, No. 139
**Offset from the most stable computed form**: 10.00 kJ/mol of atoms

This record from Alexandria describes crystalline CoSiRh4 at its relaxed geometry. The functional is PBE.

Structure (CIF):
```
data_CoSiRh4
_chemical_formula_sum 'Co1 Si1 Rh4'
_cell_length_a 5.056
_cell_length_b 5.056
_cell_length_c 5.056
_cell_angle_alpha 60.00
_cell_angle_beta 60.00
_cell_angle_gamma 60.00
_space_group_name_H-M_alt 'P 1'
_space_group_IT_number 1
_space_group_name_Hall 'P 1'
loop_
_atom_site_label
_atom_site_type_symbol
_atom_site_fract_x
_atom_site_fract_y
_atom_site_fract_z
_atom_site_occupancy
Co1 Co 0.000 0.000 0.000 1
Rh1 Rh 0.625 0.625 0.625 1
Rh2 Rh 0.625 0.125 0.625 1
Rh3 Rh 0.625 0.625 0.125 1
Rh4 Rh 0.125 0.625 0.625 1
Si1 Si 0.250 0.250 0.250 1
```

Output
**Calculated total energy**: -6.4899 eV/atom
**D(E_F)**: 1.845 states/eV/atom
**Formation energy without anion corrections**: 499 meV/atom
**Space-group type**: F-43m, No. 216

This record from Alexandria describes crystalline Th6TcRu2Se3 at its relaxed geometry. The functional is PBE.

Structure (CIF):
```
data_Th6TcRu2Se3
_chemical_formula_sum 'Th6 Tc1 Ru2 Se3'
_cell_length_a 4.094
_cell_length_b 8.766
_cell_length_c 9.667
_cell_angle_alpha 108.15
_cell_angle_beta 102.23
_cell_angle_gamma 90.00
_space_group_name_H-M_alt 'P 1'
_space_group_IT_number 1
_space_group_name_Hall 'P 1'
loop_
_atom_site_label
_atom_site_type_symbol
_atom_site_fract_x
_atom_site_fract_y
_atom_site_fract_z
_atom_site_occupancy
Th1 Th 0.658 0.101 0.316 1
Th2 Th 0.007 0.229 0.014 1
Th3 Th 0.325 0.438 0.650 1
Th4 Th 0.675 0.562 0.350 1
Th5 Th 0.993 0.771 0.986 1
Th6 Th 0.342 0.899 0.684 1
Ru1 Ru 0.832 0.666 0.665 1
Ru2 Ru 0.168 0.334 0.335 1
Tc1 Tc 0.500 0.000 0.000 1
Se1 Se 0.167 0.833 0.333 1
Se2 Se 0.500 0.500 0.000 1
Se3 Se 0.833 0.167 0.667 1
```

Output
**Calculated total energy**: -7.9673 eV/atom
**D(E_F)**: 0.420 states/eV/atom
**Formation energy without anion corrections**: -976 meV/atom
**Space-group type**: C2/m, No. 12